Entry 1:
Below is Ta5Al at its PBEsol-relaxed geometry, with properties calculated at the meta-GGA SCAN level.

Lattice parameters (Å, degrees): 5.5439 5.5439 7.2710 103.04 103.04 28.88
Last column: nearest neighbours and their distance in Å.
Atoms (fractional coordinates):
Ta: 0.0000 0.0000 0.0000  6 Ta 2.75-2.97, 2 Al 2.90
Ta: 0.0679 0.0679 0.6524  9 Ta 2.76-3.01, 3 Al 2.82-2.91
Ta: 0.4068 0.4068 0.3254  9 Ta 2.76-3.06, 1 Al 2.89
Ta: 0.6707 0.6707 0.3512  8 Ta 2.76-3.01, 2 Al 2.99
Ta: 0.7407 0.7407 0.9789  10 Ta 2.75-3.06, 2 Al 2.92
Al: 0.3351 0.3351 0.6850  2 Al 2.76, 10 Ta 2.82-2.99

D(E_F) = 5.4 states/eV per cell
energy relative to the elements = 0.41 eV/f.u.
relative energy among the computed polymorphs = 0.881 eV/f.u.
spin magnetization = 0.00 μB per formula unit


Entry 2:
Below is NaMoF6 at its PBEsol-relaxed geometry, with properties calculated at the meta-GGA SCAN level.

Lattice parameters (Å, degrees): 5.8836 5.8836 5.8836 60.00 60.00 60.00
Last column: nearest neighbours and their distance in Å.
Atoms (fractional coordinates):
Na: 0.0000 0.0000 0.0000  6 F 2.28
Mo: 0.5000 0.5000 0.5000  6 F 1.88
F: 0.2735 0.2735 0.7265  1 Mo 1.88
F: 0.2735 0.7265 0.2735  1 Mo 1.88
F: 0.2735 0.7265 0.7265  1 Mo 1.88
F: 0.7265 0.2735 0.2735  1 Mo 1.88
F: 0.7265 0.2735 0.7265  1 Mo 1.88
F: 0.7265 0.7265 0.2735  1 Mo 1.88

D(E_F) = 7.9 states/eV per cell
ΔE_f (raw) = -21.77 eV/f.u.
spin magnetization = 1.00 μB per formula unit


Entry 3:
Below is BeZnBi3 at its PBEsol-relaxed geometry, with properties calculated at the meta-GGA SCAN level.

Lattice parameters (Å, degrees): 5.0584 5.0584 5.0584 90.00 90.00 90.00
Last column: nearest neighbours and their distance in Å.
Atoms (fractional coordinates):
Be: 0.0000 0.0000 0.0000  6 Bi 2.53
Zn: 0.5000 0.5000 0.5000  12 Bi 3.58
Bi: 0.0000 0.0000 0.5000  2 Be 2.53
Bi: 0.0000 0.5000 0.0000  2 Be 2.53
Bi: 0.5000 0.0000 0.0000  2 Be 2.53

D(E_F) = 4.3 states/eV per cell
energy relative to the elements = 3.30 eV/f.u.
spin magnetization = 0.00 μB per formula unit


Entry 4:
Below is Cr2CuMo at its PBEsol-relaxed geometry, with properties calculated at the meta-GGA SCAN level.

Lattice parameters (Å, degrees): 2.8234 2.8234 6.2363 90.00 90.00 90.00
Last column: nearest neighbours and their distance in Å.
Atoms (fractional coordinates):
Cr: 0.0000 0.0000 0.0000  4 Cr 2.32
Cr: 0.5000 0.5000 0.1905  4 Cr 2.32, 4 Cu 2.53
Cu: 0.0000 0.0000 0.4397  5 Cr 2.53-2.74, 4 Mo 2.68, 4 Cu 2.82
Mo: 0.5000 0.5000 0.7258  5 Cr 2.63-2.90, 4 Cu 2.68, 4 Mo 2.82

D(E_F) = 1.8 states/eV per cell
energy relative to the elements = 0.96 eV/f.u.
relative energy among the computed polymorphs = 0.000 eV/f.u.
spin magnetization = 0.53 μB per formula unit


Entry 5:
Below is Fe3Ge at its PBEsol-relaxed geometry, with properties calculated at the meta-GGA SCAN level.

Lattice parameters (Å, degrees): 3.5761 3.5761 3.5761 90.00 90.00 90.00
Last column: nearest neighbours and their distance in Å.
Atoms (fractional coordinates):
Fe: 0.0000 0.0000 0.5000  4 Ge 2.53, 8 Fe 2.53
Fe: 0.0000 0.5000 0.0000  4 Ge 2.53, 8 Fe 2.53
Fe: 0.5000 0.0000 0.0000  4 Ge 2.53, 8 Fe 2.53
Ge: 0.5000 0.5000 0.5000  12 Fe 2.53

D(E_F) = 2.1 states/eV per cell
energy relative to the elements = -0.66 eV/f.u.
spin magnetization = 7.39 μB per formula unit


Entry 6:
Below is YW3 at its PBEsol-relaxed geometry, with properties calculated at the meta-GGA SCAN level.

Lattice parameters (Å, degrees): 9.3269 9.3269 9.3269 18.67 18.67 18.67
Last column: nearest neighbours and their distance in Å.
Atoms (fractional coordinates):
Y: 0.0000 0.0000 0.0000  6 Y 3.03, 6 W 3.10
W: 0.2404 0.2404 0.2404  3 W 2.68
W: 0.5000 0.5000 0.5000  6 W 2.68
W: 0.7596 0.7596 0.7596  3 W 2.68

D(E_F) = 3.9 states/eV per cell
energy relative to the elements = 2.86 eV/f.u.
relative energy among the computed polymorphs = 1.107 eV/f.u.
spin magnetization = 0.00 μB per formula unit


Entry 7:
Below is SrCaIn2 at its PBEsol-relaxed geometry, with properties calculated at the meta-GGA SCAN level.

Lattice parameters (Å, degrees): 3.9404 5.3686 5.5583 90.00 90.00 90.00
Last column: nearest neighbours and their distance in Å.
Atoms (fractional coordinates):
Sr: 0.0000 0.0000 0.0000  8 In 3.35-3.47, 2 Ca 3.64
Ca: 0.0000 0.5000 0.4413  8 In 3.30-3.52, 2 Sr 3.64
In: 0.5000 0.0000 0.5135  4 Sr 3.35-3.47, 4 Ca 3.35, 2 In 3.50
In: 0.5000 0.5000 0.9166  4 Ca 3.30-3.52, 4 Sr 3.36, 2 In 3.50

D(E_F) = 1.9 states/eV per cell
energy relative to the elements = -2.30 eV/f.u.
relative energy among the computed polymorphs = 0.124 eV/f.u.
spin magnetization = 0.00 μB per formula unit


Entry 8:
Below is Mg2RhBr at its PBEsol-relaxed geometry, with properties calculated at the meta-GGA SCAN level.

Lattice parameters (Å, degrees): 7.6690 7.6690 7.6690 154.83 154.69 35.99
Last column: nearest neighbours and their distance in Å.
Atoms (fractional coordinates):
Mg: 0.0000 0.0000 0.0000  2 Rh 2.57
Mg: 0.7051 0.2051 0.5000  4 Rh 2.59
Rh: 0.1336 0.6336 0.5000  6 Mg 2.57-2.59
Br: 0.3871 0.3871 0.0000  6 Mg 2.89-3.14

D(E_F) = 0.7 states/eV per cell
relative energy among the computed polymorphs = 0.000 eV/f.u.
ΔE_f (raw) = -2.12 eV/f.u.
spin magnetization = 0.00 μB per formula unit


Entry 9:
Below is MnFeOs2 at its PBEsol-relaxed geometry, with properties calculated at the meta-GGA SCAN level.

Lattice parameters (Å, degrees): 3.9221 4.8859 4.8859 31.12 90.00 90.00
Last column: nearest neighbours and their distance in Å.
Atoms (fractional coordinates):
Mn: 0.0000 0.0000 0.0000  2 Fe 2.27, 3 Os 2.53-2.54
Fe: 0.5000 0.1221 0.1221  2 Mn 2.27, 3 Os 2.52-2.55
Os: 0.0000 0.7304 0.7304  3 Mn 2.53-2.54, 4 Fe 2.57, 6 Os 2.62-2.80
Os: 0.5000 0.3903 0.3903  3 Fe 2.52-2.55, 4 Mn 2.57, 6 Os 2.62-2.80

D(E_F) = 3.9 states/eV per cell
energy relative to the elements = 0.67 eV/f.u.
spin magnetization = 0.01 μB per formula unit


Entry 10:
Below is Ag25Bi3O18 at its PBEsol-relaxed geometry, with properties calculated at the meta-GGA SCAN level.

Lattice parameters (Å, degrees): 11.4983 11.4983 6.2080 90.00 90.00 120.00
Last column: nearest neighbours and their distance in Å.
Atoms (fractional coordinates):
Ag: 0.0000 0.0000 0.0000  6 O 2.50
Ag: 0.0000 0.5000 0.0000  2 O 2.06
Ag: 0.0000 0.5000 0.5000  2 O 2.08
Ag: 0.0205 0.2710 0.8442  2 O 2.10-2.11
Ag: 0.0463 0.7409 0.6695  2 O 2.10-2.15
Ag: 0.2361 0.4839 0.2541  2 O 2.09
Ag: 0.2478 0.7639 0.2541  2 O 2.09
Ag: 0.2505 0.9795 0.8442  2 O 2.10-2.11
Ag: 0.2591 0.3054 0.6695  2 O 2.10-2.15
Ag: 0.2710 0.2505 0.1558  2 O 2.10-2.11
Ag: 0.3054 0.0463 0.3305  2 O 2.10-2.15
Ag: 0.4839 0.2478 0.7459  2 O 2.09
Ag: 0.5000 0.0000 0.0000  2 O 2.06
Ag: 0.5000 0.0000 0.5000  2 O 2.08
Ag: 0.5000 0.5000 0.0000  2 O 2.06
Ag: 0.5000 0.5000 0.5000  2 O 2.08
Ag: 0.5161 0.7522 0.2541  2 O 2.09
Ag: 0.6946 0.9537 0.6695  2 O 2.10-2.15
Ag: 0.7290 0.7495 0.8442  2 O 2.10-2.11
Ag: 0.7409 0.6946 0.3305  2 O 2.10-2.15
Ag: 0.7495 0.0205 0.1558  2 O 2.10-2.11
Ag: 0.7522 0.2361 0.7459  2 O 2.09
Ag: 0.7639 0.5161 0.7459  2 O 2.09
Ag: 0.9537 0.2591 0.3305  2 O 2.10-2.15
Ag: 0.9795 0.7290 0.1558  2 O 2.10-2.11
Bi: 0.0000 0.0000 0.5000  6 O 2.20
Bi: 0.3333 0.6667 0.7741  6 O 2.26-2.41
Bi: 0.6667 0.3333 0.2259  6 O 2.26-2.41
O: 0.0787 0.1760 0.2875  2 Ag 2.10, 1 Bi 2.20
O: 0.0973 0.9213 0.2875  2 Ag 2.10, 1 Bi 2.20
O: 0.1586 0.4677 0.9449  3 Ag 2.06-2.11
O: 0.1760 0.0973 0.7125  2 Ag 2.10, 1 Bi 2.20
O: 0.1809 0.6757 0.5564  3 Ag 2.08-2.15, 1 Bi 2.26
O: 0.3091 0.8414 0.9449  3 Ag 2.06-2.11
O: 0.3243 0.5052 0.5564  3 Ag 2.08-2.15, 1 Bi 2.26
O: 0.4677 0.3091 0.0551  3 Ag 2.06-2.11
O: 0.4948 0.8191 0.5564  3 Ag 2.08-2.15, 1 Bi 2.26
O: 0.5052 0.1809 0.4436  3 Ag 2.08-2.15, 1 Bi 2.26
O: 0.5323 0.6909 0.9449  3 Ag 2.06-2.11
O: 0.6757 0.4948 0.4436  3 Ag 2.08-2.15, 1 Bi 2.26
O: 0.6909 0.1586 0.0551  3 Ag 2.06-2.11
O: 0.8191 0.3243 0.4436  3 Ag 2.08-2.15, 1 Bi 2.26
O: 0.8240 0.9027 0.2875  2 Ag 2.10, 1 Bi 2.20
O: 0.8414 0.5323 0.0551  3 Ag 2.06-2.11
O: 0.9027 0.0787 0.7125  2 Ag 2.10, 1 Bi 2.20
O: 0.9213 0.8240 0.7125  2 Ag 2.10, 1 Bi 2.20

D(E_F) = 15.2 states/eV per cell
ΔE_f (raw) = -15.00 eV/f.u.
spin magnetization = 0.00 μB per formula unit


Entry 11:
Below is YScNb2 at its PBEsol-relaxed geometry, with properties calculated at the meta-GGA SCAN level.

Lattice parameters (Å, degrees): 4.8963 4.8963 4.8963 60.00 60.00 60.00
Last column: nearest neighbours and their distance in Å.
Atoms (fractional coordinates):
Y: 0.0000 0.0000 0.0000  8 Nb 3.00
Sc: 0.5000 0.5000 0.5000  8 Nb 3.00
Nb: 0.2500 0.2500 0.2500  4 Sc 3.00, 4 Y 3.00
Nb: 0.7500 0.7500 0.7500  4 Sc 3.00, 4 Y 3.00

D(E_F) = 6.7 states/eV per cell
energy relative to the elements = 2.06 eV/f.u.
spin magnetization = 0.00 μB per formula unit


Entry 12:
Below is ZrCd2Os at its PBEsol-relaxed geometry, with properties calculated at the meta-GGA SCAN level.

Lattice parameters (Å, degrees): 3.1969 3.1969 7.4919 90.00 90.00 90.00
Last column: nearest neighbours and their distance in Å.
Atoms (fractional coordinates):
Zr: 0.0000 0.0000 0.0000  4 Os 2.68
Cd: 0.0000 0.0000 0.5678  4 Os 2.89, 8 Cd 3.00-3.20
Cd: 0.5000 0.5000 0.3045  8 Cd 3.00-3.20, 4 Zr 3.21
Os: 0.5000 0.5000 0.8071  4 Zr 2.68, 4 Cd 2.89

D(E_F) = 1.7 states/eV per cell
energy relative to the elements = -0.38 eV/f.u.
relative energy among the computed polymorphs = 0.000 eV/f.u.
spin magnetization = 0.00 μB per formula unit


- D(E_F) of number 4 (Cr2CuMo)?
  1.8 states/eV per cell


- Number 7 is which compound?
  SrCaIn2


- The highest D(E_F) belongs to which entry?
  Ag25Bi3O18